# 1
Material: La2Ga4Os
Method: DFT, PBE-GGA
State: optimized geometry

Total magnetization   0.00 μB/f.u.
DFT formation energy   -0.38 eV/atom
N(E_F)   3.7 states/eV/cell
Calculated density   7.1 Mg/m³

Cell lengths 8.467, 8.467, 8.467 Å; angles 147.60, 147.60, 46.48 degrees
Sites, in units of the cell vectors:
La (0.144, 0.144, 0.000)
La (0.856, 0.856, 0.000)
Ga (0.000, 0.500, 0.500)
Ga (0.338, 0.338, 0.000)
Ga (0.500, 0.000, 0.500)
Ga (0.662, 0.662, 0.000)
Os (0.500, 0.500, 0.000)



# 2
Material: La2Ga5Os
Method: DFT, PBE-GGA
State: optimized geometry

Total magnetization   0.00 μB/f.u.
DFT formation energy   -0.40 eV/atom
N(E_F)   5.6 states/eV/cell
Calculated density   7.6 Mg/m³

Cell lengths 6.405, 6.405, 6.405 Å; angles 122.16, 122.16, 86.29 degrees
Sites, in units of the cell vectors:
La (0.000, 0.500, 0.500)
La (0.500, 0.000, 0.500)
Ga (0.038, 0.038, 0.569)
Ga (0.038, 0.469, 0.000)
Ga (0.468, 0.468, 0.000)
Ga (0.469, 0.038, 0.000)
Ga (0.469, 0.469, 0.431)
Os (0.731, 0.731, 0.000)